PmZnSn2 | PBE | optimized geometry

Geometry as POSCAR:
```
PmZnSn2
1.0
-1.5887 1.7497 -2.9385
-3.2933 0.0912 1.8348
1.6995 6.1522 2.7445
Zn Sn Pm
1 2 1
Cartesian
-1.5913 3.9966 0.8204
1.2098 4.3796 1.9538
0.4897 1.7726 0.7908
-2.4410 0.9205 -0.5519
```

Output
E above lowest polymorph: 183 meV per atom
E: -3.82 eV per atom
Fermi-level density of states: 0.5816 states/eV/atom
Formation enthalpy at 0 K: -0.31 eV/atom
M_tot: 0.0 Bohr magnetons per cell
SG: P4/mmm, No. 123


BaLaIr3 | PBE | optimized geometry

Geometry as POSCAR:
```
BaLaIr3
1.0
5.1158 0.0000 0.0000
0.0000 5.1158 0.0000
0.0000 0.0000 5.1158
Ir Ba La
3 1 1
Cartesian
0.0000 2.5579 0.0000
0.0000 0.0000 2.5579
2.5579 0.0000 0.0000
0.0000 0.0000 0.0000
2.5579 2.5579 2.5579
```

Output
E above lowest polymorph: 593 meV per atom
E: -5.11 eV per atom
Fermi-level density of states: 0.4427 states/eV/atom
Formation enthalpy at 0 K: 1.58 eV/atom
M_tot: 0.0 Bohr magnetons per cell
SG: Pm-3m, No. 221


PrNi5 | PBE | optimized geometry

Geometry as POSCAR:
```
PrNi5
1.0
4.2850 -0.6497 0.3206
-0.7837 4.1642 -2.0550
0.3919 -0.1139 5.0157
Pr Ni
1 5
Cartesian
0.0000 0.0000 0.0000
1.7506 2.8574 1.3622
-0.3919 2.7425 0.3108
1.7506 1.7572 -0.8672
0.0000 1.3077 2.6499
2.1425 0.5431 1.9192
```

Output
E: -5.58 eV per atom
Fermi-level density of states: 1.5268 states/eV/atom
Formation enthalpy at 0 K: 0.03 eV/atom
M_tot: 0.9 Bohr magnetons per cell
SG: C2/m, No. 12


Na3ZnAu | PBE | optimized geometry

Geometry as POSCAR:
```
Na3ZnAu
1.0
4.7144 0.0005 0.0006
-0.0001 6.4554 0.0032
-0.0011 -0.0037 8.5023
Na Zn Au
6 2 2
Cartesian
1.1780 4.9746 4.6418
1.1779 1.5937 6.3778
1.1776 4.9725 8.1168
3.5352 1.4776 3.8643
3.5357 1.4798 0.3893
3.5354 4.8585 2.1283
3.5350 3.5661 6.3784
1.1783 2.8861 2.1277
1.1783 0.3149 2.1258
3.5350 6.1373 6.3803
```

Output
E above lowest polymorph: 0 meV per atom
E: -1.84 eV per atom
Fermi-level density of states: 0.1909 states/eV/atom
Formation enthalpy at 0 K: -0.14 eV/atom
M_tot: 0.0 Bohr magnetons per cell
SG: Pmmn, No. 59


La2Os | PBE | optimized geometry

Geometry as POSCAR:
```
La2Os
1.0
-3.5076 3.5409 0.0671
-2.6903 0.9209 -4.0938
-4.8195 -1.2630 -0.1514
Os La
1 2
Cartesian
0.0000 0.0000 0.0000
-8.2631 2.3991 -3.1336
-2.7544 0.7997 -1.0445
```

Output
E: -7.14 eV per atom
Fermi-level density of states: 0.9635 states/eV/atom
Formation enthalpy at 0 K: -0.12 eV/atom
M_tot: 0.0 Bohr magnetons per cell
SG: Fm-3m, No. 225


V3SnH | PBE | optimized geometry

Geometry as POSCAR:
```
V3SnH
1.0
-0.5597 -5.0518 0.5941
4.1517 -0.6551 -1.6597
1.9995 -0.4116 5.1642
H Sn V
2 2 6
Cartesian
3.8037 -1.4751 2.6872
1.1691 -0.5172 1.8705
3.2849 -2.9525 0.3239
2.2407 -4.2673 4.3831
2.0179 -1.7645 2.8606
3.4923 -5.4527 1.8525
1.0590 -1.2288 0.2097
4.2878 -3.1550 2.8515
5.0383 -0.9410 3.8983
1.2792 -4.0713 1.8388
```

Output
E: -7.05 eV per atom
Fermi-level density of states: 0.5476 states/eV/atom
M_tot: 0.0 Bohr magnetons per cell
SG: P2_1, No. 4


> Which of these has the highest E?

Na3ZnAu


> The highest M_tot belongs to which entry?

PrNi5


> Which of these has the highest M_tot?

PrNi5